--- i ---
An optimized crystal structure of Be3CuF. Source: Alexandria via LeMat-Bulk, functional PBE-GGA.

Cell lengths 4.1195, 4.1195, 4.1195 Å; angles 90.00, 90.00, 90.00 degrees
Closest atoms and distances in Å follow each position.
Sites, in units of the cell vectors:
Be 0.0000 0.0000 0.5000  2 Cu 2.06
Be 0.0000 0.5000 0.0000  2 Cu 2.06
Cu 0.0000 0.0000 0.0000  6 Be 2.06
F 0.5000 0.5000 0.5000  12 Be 2.91
Be 0.5000 0.0000 0.0000  2 Cu 2.06

--- ii ---
An optimized crystal structure of Be3CuF. Source: Alexandria via LeMat-Bulk, functional PBE-GGA.

Cell lengths 3.6175, 3.6175, 3.6175 Å; angles 90.00, 90.00, 90.00 degrees
Closest atoms and distances in Å follow each position.
Sites, in units of the cell vectors:
Be 0.5000 0.0000 0.0000  2 F 1.81
F 0.0000 0.0000 0.0000  6 Be 1.81
Be 0.0000 0.0000 0.5000  2 F 1.81
Cu 0.5000 0.5000 0.5000  12 Be 2.56
Be 0.0000 0.5000 0.0000  2 F 1.81

Name the least stable of them. i.